Version i
! LaTl3H, optimized geometry, DFT GGA-PBE; values from VASP
! magnetization = 0.00 μB per formula unit
! DOS at the Fermi energy = 0.709 states/eV per atom
! density = 10.34 Mg/m³
&SYSTEM
  ibrav = 0, nat = 5, ntyp = 3
/
ATOMIC_SPECIES
H 1.01 H.upf
Tl 204.38 Tl.upf
La 138.91 La.upf
ATOMIC_POSITIONS crystal
H 0.000 0.000 0.000
Tl 0.000 0.500 0.000
Tl 0.000 0.000 0.500
Tl 0.500 0.000 0.000
La 0.500 0.500 0.500
CELL_PARAMETERS angstrom
4.946 0.000 0.000
0.000 4.946 0.000
0.000 0.000 4.946

***

Version ii
! LaTl3H, optimized geometry, DFT GGA-PBE; values from VASP
! magnetization = 1.00 μB per formula unit
! DOS at the Fermi energy = 1.508 states/eV per atom
! density = 5.04 Mg/m³
&SYSTEM
  ibrav = 0, nat = 5, ntyp = 3
/
ATOMIC_SPECIES
H 1.01 H.upf
Tl 204.38 Tl.upf
La 138.91 La.upf
ATOMIC_POSITIONS crystal
H 0.500 0.500 0.500
Tl 0.000 0.500 0.000
Tl 0.000 0.000 0.500
Tl 0.500 0.000 0.000
La 0.000 0.000 0.000
CELL_PARAMETERS angstrom
-3.778 3.402 3.696
-4.398 -4.475 -0.376
2.427 -2.812 5.070

***

The most stable of them is version i.

***

Version i
! La4Tl2H, optimized geometry, DFT GGA-PBE; values from VASP
! magnetization = 0.00 μB per formula unit
! DOS at the Fermi energy = 0.914 states/eV per atom
! density = 7.65 Mg/m³
&SYSTEM
  ibrav = 0, nat = 14, ntyp = 3
/
ATOMIC_SPECIES
La 138.91 La.upf
Tl 204.38 Tl.upf
H 1.01 H.upf
ATOMIC_POSITIONS crystal
La 0.540 0.492 0.283
La 0.114 0.750 0.940
La 0.886 0.250 0.060
La 0.540 0.008 0.283
La 0.927 0.250 0.639
La 0.460 0.992 0.717
La 0.460 0.508 0.717
La 0.073 0.750 0.361
Tl 0.679 0.750 0.037
Tl 0.321 0.250 0.963
Tl 0.185 0.250 0.406
Tl 0.815 0.750 0.594
H 0.279 0.750 0.203
H 0.721 0.250 0.797
CELL_PARAMETERS angstrom
6.536 0.000 -0.460
0.000 6.982 0.000
-2.919 0.000 9.393

***

Version ii
! La4Tl2H, optimized geometry, DFT GGA-PBE; values from VASP
! magnetization = 0.00 μB per formula unit
! DOS at the Fermi energy = 0.989 states/eV per atom
! density = 7.65 Mg/m³
&SYSTEM
  ibrav = 0, nat = 7, ntyp = 3
/
ATOMIC_SPECIES
H 1.01 H.upf
Tl 204.38 Tl.upf
La 138.91 La.upf
ATOMIC_POSITIONS crystal
H 0.000 0.000 0.000
Tl 0.363 0.363 0.274
Tl 0.637 0.637 0.726
La 0.180 0.180 0.639
La 0.820 0.820 0.361
La 0.000 0.500 0.000
La 0.500 0.000 0.000
CELL_PARAMETERS angstrom
4.866 0.000 0.000
0.000 4.866 0.000
2.433 2.433 8.851

***

The most stable of them is version i.

***

Version i
! La6Tl3H, optimized geometry, DFT GGA-PBE; values from VASP
! magnetization = 0.00 μB per formula unit
! DOS at the Fermi energy = 0.956 states/eV per atom
! density = 8.09 Mg/m³
&SYSTEM
  ibrav = 0, nat = 20, ntyp = 3
/
ATOMIC_SPECIES
La 138.91 La.upf
Tl 204.38 Tl.upf
H 1.01 H.upf
ATOMIC_POSITIONS crystal
La 0.149 0.739 0.595
La 0.649 0.595 0.739
La 0.149 0.436 0.902
La 0.649 0.902 0.436
La 0.149 0.069 0.931
La 0.649 0.235 0.765
La 0.149 0.765 0.235
La 0.649 0.931 0.069
La 0.149 0.098 0.564
La 0.649 0.564 0.098
La 0.149 0.405 0.261
La 0.649 0.261 0.405
Tl 0.648 0.926 0.743
Tl 0.148 0.743 0.926
Tl 0.148 0.408 0.592
Tl 0.648 0.592 0.408
Tl 0.148 0.074 0.257
Tl 0.648 0.257 0.074
H 0.149 0.214 0.786
H 0.649 0.786 0.214
CELL_PARAMETERS angstrom
5.104 0.000 0.000
0.000 10.717 -1.903
0.000 -0.093 10.884

***

Version ii
! La6Tl3H, optimized geometry, DFT GGA-PBE; values from VASP
! magnetization = 0.00 μB per formula unit
! DOS at the Fermi energy = 1.139 states/eV per atom
! density = 7.74 Mg/m³
&SYSTEM
  ibrav = 0, nat = 20, ntyp = 3
/
ATOMIC_SPECIES
La 138.91 La.upf
Tl 204.38 Tl.upf
H 1.01 H.upf
ATOMIC_POSITIONS crystal
La 0.625 0.144 0.952
La 0.593 0.204 0.554
La 0.640 0.457 0.280
La 0.360 0.543 0.720
La 0.407 0.796 0.446
La 0.375 0.856 0.048
La 0.125 0.356 0.452
La 0.093 0.296 0.054
La 0.140 0.043 0.780
La 0.860 0.957 0.220
La 0.907 0.704 0.946
La 0.875 0.644 0.548
Tl 0.603 0.880 0.736
Tl 0.500 0.500 0.000
Tl 0.397 0.120 0.264
Tl 0.103 0.620 0.236
Tl 0.000 0.000 0.500
Tl 0.897 0.380 0.764
H 0.500 0.500 0.500
H 0.000 0.000 0.000
CELL_PARAMETERS angstrom
6.578 0.000 0.199
0.000 8.841 0.000
0.344 0.000 10.693

***

The most stable of them is version i.

***

Version i
! La2TlH2, optimized geometry, DFT GGA-PBE; values from VASP
! magnetization = 0.00 μB per formula unit
! DOS at the Fermi energy = 0.619 states/eV per atom
! density = 7.70 Mg/m³
&SYSTEM
  ibrav = 0, nat = 10, ntyp = 3
/
ATOMIC_SPECIES
La 138.91 La.upf
Tl 204.38 Tl.upf
H 1.01 H.upf
ATOMIC_POSITIONS crystal
La 0.443 0.557 0.250
La 0.805 0.195 0.250
La 0.195 0.805 0.750
La 0.557 0.443 0.750
Tl 0.125 0.875 0.250
Tl 0.875 0.125 0.750
H 0.744 0.495 0.488
H 0.505 0.256 0.012
H 0.495 0.744 0.988
H 0.256 0.505 0.512
CELL_PARAMETERS angstrom
-0.578 5.001 3.649
-4.454 -4.319 0.408
5.664 -3.163 2.321

***

Version ii
! La2TlH2, optimized geometry, DFT GGA-PBE; values from VASP
! magnetization = 0.00 μB per formula unit
! DOS at the Fermi energy = 0.720 states/eV per atom
! density = 8.01 Mg/m³
&SYSTEM
  ibrav = 0, nat = 10, ntyp = 3
/
ATOMIC_SPECIES
H 1.01 H.upf
Tl 204.38 Tl.upf
La 138.91 La.upf
ATOMIC_POSITIONS crystal
H 0.398 0.898 0.000
H 0.898 0.602 0.000
H 0.602 0.102 0.000
H 0.102 0.398 0.000
Tl 0.000 0.000 0.000
Tl 0.500 0.500 0.000
La 0.157 0.657 0.500
La 0.657 0.843 0.500
La 0.843 0.343 0.500
La 0.343 0.157 0.500
CELL_PARAMETERS angstrom
-3.184 -0.389 7.154
6.794 -2.648 2.880
0.947 3.071 0.588

***

The most stable of them is version i.